[1]
# AcPuB2N4

AcPuB2N4 after structural relaxation (PBE-GGA, the Alexandria database).

Calculated values
- uncorrected formation energy (meV/atom) = -945
- crystal system = orthorhombic
- size of the total moment (μB/atom) = 0.62

Lattice parameters (Å, degrees): 5.572 5.289 5.289 68.16 58.21 58.21
Sites, in units of the cell vectors:
N1 0.038 0.426 0.130
Ac1 0.000 0.000 0.000
N2 0.962 0.870 0.574
N3 0.594 0.574 0.870
B1 0.776 0.724 0.724
N4 0.406 0.130 0.426
B2 0.224 0.276 0.276
Pu1 0.500 0.500 0.500


[2]
# CdTeCl2

CdTeCl2 after structural relaxation (PBE-GGA, the Alexandria database).

Calculated values
- uncorrected formation energy (meV/atom) = -22
- crystal system = orthorhombic
- size of the total moment (μB/atom) = 0.00

Lattice parameters (Å, degrees): 3.377 4.507 6.304 90.00 90.00 90.00
Sites, in units of the cell vectors:
Cl1 0.000 0.000 0.504
Cd1 0.500 0.500 0.750
Cl2 0.000 0.000 0.996
Te1 0.500 0.500 0.250


[3]
# Sr2InFe

Sr2InFe after structural relaxation (PBE-GGA, the Alexandria database).

Calculated values
- crystal system = cubic
- ΔH_f (0 K) (kJ/mol of atoms) = 32
- size of the total moment (μB/atom) = 0.71

Lattice parameters (Å, degrees): 5.389 5.389 5.389 120.04 120.04 89.93
Sites, in units of the cell vectors:
In1 0.750 0.250 0.500
Sr1 0.250 0.750 0.500
Fe1 0.500 0.500 0.000
Sr2 0.000 0.000 0.000


[4]
# Sr3Zn2GaO6

Sr3Zn2GaO6 after structural relaxation (PBE-GGA, the Alexandria database).

Calculated values
- uncorrected formation energy (meV/atom) = -1899
- crystal system = trigonal
- size of the total moment (μB/atom) = 0.00

Lattice parameters (Å, degrees): 5.781 5.781 6.431 90.00 90.00 120.00
Sites, in units of the cell vectors:
O1 0.677 0.839 0.312
Zn1 0.333 0.667 0.175
O2 0.839 0.677 0.688
Sr1 0.667 0.333 0.371
O3 0.161 0.839 0.312
Sr2 0.333 0.667 0.629
O4 0.839 0.161 0.688
Zn2 0.667 0.333 0.825
O5 0.161 0.323 0.312
Ga1 0.000 0.000 0.500
O6 0.323 0.161 0.688
Sr3 0.000 0.000 0.000


[5]
# SrLiScCl6

SrLiScCl6 after structural relaxation (PBE-GGA, the Alexandria database).

Calculated values
- uncorrected formation energy (meV/atom) = -2162
- crystal system = trigonal
- size of the total moment (μB/atom) = 0.00

Lattice parameters (Å, degrees): 6.594 6.594 12.594 90.00 90.00 120.00
Sites, in units of the cell vectors:
Cl1 0.644 0.634 0.137
Cl2 0.010 0.644 0.863
Cl3 0.366 0.010 0.137
Cl4 0.356 0.366 0.863
Li1 0.333 0.667 0.250
Cl5 0.366 0.356 0.363
Cl6 0.644 0.010 0.363
Li2 0.667 0.333 0.750
Sc1 0.667 0.333 0.250
Sr1 0.000 0.000 0.500
Sc2 0.333 0.667 0.750
Cl7 0.356 0.990 0.637
Cl8 0.010 0.366 0.637
Cl9 0.634 0.990 0.863
Sr2 0.000 0.000 0.000
Cl10 0.990 0.356 0.137
Cl11 0.634 0.644 0.637
Cl12 0.990 0.634 0.363


[6]
# AlCr2Cu

AlCr2Cu after structural relaxation (PBE-GGA, the Alexandria database).

Calculated values
- crystal system = orthorhombic
- ΔH_f (0 K) (kJ/mol of atoms) = 9
- size of the total moment (μB/atom) = 0.00

Lattice parameters (Å, degrees): 2.500 4.072 4.869 90.00 90.00 90.00
Sites, in units of the cell vectors:
Cr1 0.000 0.000 0.992
Al1 0.500 0.500 0.750
Cr2 0.000 0.000 0.508
Cu1 0.500 0.500 0.250


[7]
# NaTmMg4

NaTmMg4 after structural relaxation (PBE-GGA, the Alexandria database).

Calculated values
- crystal system = cubic
- ΔH_f (0 K) (kJ/mol of atoms) = 7
- size of the total moment (μB/atom) = 0.00

Lattice parameters (Å, degrees): 6.058 6.058 6.058 60.00 60.00 60.00
Sites, in units of the cell vectors:
Na1 0.000 0.000 0.000
Mg1 0.127 0.624 0.624
Mg2 0.624 0.127 0.624
Mg3 0.624 0.624 0.624
Tm1 0.250 0.250 0.250
Mg4 0.624 0.624 0.127


[8]
# Cs2Pb2Br5

Cs2Pb2Br5 after structural relaxation (PBE-GGA, the Alexandria database).

Calculated values
- uncorrected formation energy (meV/atom) = -1129
- crystal system = monoclinic
- size of the total moment (μB/atom) = 0.00

Lattice parameters (Å, degrees): 6.371 9.159 7.818 111.13 90.00 110.35
Sites, in units of the cell vectors:
Br1 0.000 0.000 0.000
Pb1 0.835 0.670 0.084
Br2 0.171 0.342 0.557
Cs1 0.600 0.200 0.323
Pb2 0.165 0.330 0.916
Br3 0.636 0.271 0.868
Cs2 0.400 0.800 0.677
Br4 0.829 0.658 0.443
Br5 0.364 0.729 0.132


[9]
# RbHg2AsPd2

RbHg2AsPd2 after structural relaxation (PBE-GGA, the Alexandria database).

Calculated values
- crystal system = tetragonal
- ΔH_f (0 K) (kJ/mol of atoms) = -23
- size of the total moment (μB/atom) = 0.00

Lattice parameters (Å, degrees): 4.835 4.835 6.506 90.00 90.00 90.00
Sites, in units of the cell vectors:
Hg1 0.500 0.500 0.733
Hg2 0.500 0.500 0.267
As1 0.000 0.000 0.000
Rb1 0.000 0.000 0.500
Pd1 0.000 0.500 0.000
Pd2 0.500 0.000 0.000


[10]
# Na2CaYFe

Na2CaYFe after structural relaxation (PBE-GGA, the Alexandria database).

Calculated values
- crystal system = tetragonal
- ΔH_f (0 K) (kJ/mol of atoms) = 169
- size of the total moment (μB/atom) = 0.12

Lattice parameters (Å, degrees): 5.254 6.046 5.254 90.00 90.00 90.00
Sites, in units of the cell vectors:
Y1 0.000 0.500 0.000
Na1 0.500 0.000 0.000
Fe1 0.500 0.500 0.500
Na2 0.000 0.000 0.500
Ca1 0.000 0.000 0.000


[11]
# Pr6TlTe3As2

Pr6TlTe3As2 after structural relaxation (PBE-GGA, the Alexandria database).

Calculated values
- uncorrected formation energy (meV/atom) = -1316
- crystal system = monoclinic
- size of the total moment (μB/atom) = 0.00

Lattice parameters (Å, degrees): 4.407 9.066 10.025 103.76 102.70 90.00
Sites, in units of the cell vectors:
Pr1 0.993 0.747 0.986
Pr2 0.333 0.897 0.666
As1 0.832 0.664 0.663
Pr3 0.327 0.432 0.654
Te1 0.835 0.169 0.670
Pr4 0.673 0.568 0.346
Pr5 0.007 0.253 0.014
Pr6 0.667 0.103 0.334
As2 0.168 0.336 0.337
Tl1 0.500 0.000 0.000
Te2 0.165 0.831 0.330
Te3 0.500 0.500 0.000


[12]
# MgGa3Si

MgGa3Si after structural relaxation (PBE-GGA, the Alexandria database).

Calculated values
- uncorrected formation energy (meV/atom) = 331
- crystal system = cubic
- size of the total moment (μB/atom) = 0.00

Lattice parameters (Å, degrees): 4.858 4.858 4.858 90.00 90.00 90.00
Sites, in units of the cell vectors:
Ga1 0.000 0.500 0.000
Ga2 0.000 0.000 0.500
Si1 0.000 0.000 0.000
Mg1 0.500 0.500 0.500
Ga3 0.500 0.000 0.000